Computed, not measured: a geometry-optimized MgMnCuF6 structure at the PBE with a Hubbard U level of DFT.

```
MgMnCuF6
1.0
-1.971 0.790 4.277
-2.707 -3.898 -0.528
6.861 -5.327 4.144
Mg Mn Cu F
2 2 2 12
Direct
0.500 0.500 0.167
0.000 0.000 0.667
0.500 0.500 0.833
0.000 0.000 0.333
0.500 0.500 0.501
0.000 0.000 0.001
0.199 0.801 0.506
0.801 0.199 0.506
0.301 0.301 0.006
0.699 0.699 0.006
0.204 0.796 0.165
0.796 0.204 0.165
0.296 0.296 0.665
0.704 0.704 0.665
0.808 0.192 0.829
0.192 0.808 0.829
0.692 0.692 0.329
0.308 0.308 0.329
```

- Crystal system: tetragonal
- Electronic total energy: -94.90 eV/cell